(A)
Entry from Alexandria via LeMat-Bulk: a relaxed structure of BiOs2Br2 (PBE).

Unit cell a=8.303 b=8.303 c=3.038 alpha=90.00 beta=90.00 gamma=90.00
Positions (direct):
Bi (0.000, 0.000, 0.000)
Bi (0.500, 0.500, 0.000)
Os (0.208, 0.292, 0.500)
Os (0.292, 0.792, 0.500)
Os (0.708, 0.208, 0.500)
Os (0.792, 0.708, 0.500)
Br (0.128, 0.628, 0.000)
Br (0.372, 0.128, 0.000)
Br (0.628, 0.872, 0.000)
Br (0.872, 0.372, 0.000)

Output
Calculated volume = 209.4 Å³ per cell
Density of states at the Fermi level = 11.7 states/eV per cell
Crystal system = tetragonal
ρ = 11.9 g/cm³
Space-group type = P4/mbm (127)

---

(B)
Entry from Alexandria via LeMat-Bulk: a relaxed structure of BiOs2Br2 (PBE).

Unit cell a=4.289 b=4.289 c=11.420 alpha=90.00 beta=90.00 gamma=90.00
Positions (direct):
Bi (0.000, 0.000, 0.000)
Bi (0.500, 0.500, 0.500)
Os (0.000, 0.500, 0.250)
Os (0.000, 0.500, 0.750)
Os (0.500, 0.000, 0.250)
Os (0.500, 0.000, 0.750)
Br (0.000, 0.000, 0.366)
Br (0.000, 0.000, 0.634)
Br (0.500, 0.500, 0.134)
Br (0.500, 0.500, 0.866)

Output
Calculated volume = 210.0 Å³ per cell
Density of states at the Fermi level = 12.7 states/eV per cell
Crystal system = tetragonal
ρ = 11.8 g/cm³
Space-group type = I4/mmm (139)

---

Energies relative to the minimum, meV per atom: (A) 119; (B) 0

---

(A)
Entry from Alexandria via LeMat-Bulk: a relaxed structure of Bi2OsBr (PBE).

Unit cell a=6.705 b=6.705 c=13.165 alpha=90.00 beta=90.00 gamma=90.00
Positions (direct):
Bi (0.164, 0.250, 0.125)
Bi (0.250, 0.664, 0.375)
Bi (0.250, 0.836, 0.875)
Bi (0.336, 0.250, 0.625)
Bi (0.664, 0.750, 0.625)
Bi (0.750, 0.164, 0.875)
Bi (0.750, 0.336, 0.375)
Bi (0.836, 0.750, 0.125)
Os (0.000, 0.000, 0.000)
Os (0.000, 0.500, 0.250)
Os (0.500, 0.000, 0.750)
Os (0.500, 0.500, 0.500)
Br (0.000, 0.000, 0.500)
Br (0.000, 0.500, 0.750)
Br (0.500, 0.000, 0.250)
Br (0.500, 0.500, 0.000)

Output
Calculated volume = 591.9 Å³ per cell
Density of states at the Fermi level = 9.0 states/eV per cell
Crystal system = tetragonal
ρ = 7.7 g/cm³
Space-group type = I-42d (122)

---

(B)
Entry from Alexandria via LeMat-Bulk: a relaxed structure of Bi2OsBr (PBE).

Unit cell a=7.212 b=7.212 c=7.212 alpha=90.00 beta=90.00 gamma=90.00
Positions (direct):
Bi (0.250, 0.250, 0.250)
Bi (0.250, 0.250, 0.750)
Bi (0.250, 0.750, 0.250)
Bi (0.250, 0.750, 0.750)
Bi (0.750, 0.250, 0.250)
Bi (0.750, 0.250, 0.750)
Bi (0.750, 0.750, 0.250)
Bi (0.750, 0.750, 0.750)
Os (0.000, 0.000, 0.000)
Os (0.000, 0.500, 0.500)
Os (0.500, 0.000, 0.500)
Os (0.500, 0.500, 0.000)
Br (0.000, 0.000, 0.500)
Br (0.000, 0.500, 0.000)
Br (0.500, 0.000, 0.000)
Br (0.500, 0.500, 0.500)

Output
Calculated volume = 375.1 Å³ per cell
Density of states at the Fermi level = 11.7 states/eV per cell
Crystal system = cubic
ρ = 12.2 g/cm³
Space-group type = Fm-3m (225)

---

Energies relative to the minimum, meV per atom: (A) 0; (B) 299

---

(A)
Entry from Alexandria via LeMat-Bulk: a relaxed structure of BiPBr2 (PBE).

Unit cell a=4.659 b=4.659 c=19.839 alpha=90.00 beta=90.00 gamma=90.00
Positions (direct):
Bi (0.000, 0.000, 0.000)
Bi (0.000, 0.500, 0.250)
Bi (0.500, 0.000, 0.750)
Bi (0.500, 0.500, 0.500)
P (0.000, 0.000, 0.500)
P (0.000, 0.500, 0.750)
P (0.500, 0.000, 0.250)
P (0.500, 0.500, 0.000)
Br (0.241, 0.250, 0.625)
Br (0.250, 0.741, 0.875)
Br (0.250, 0.759, 0.375)
Br (0.259, 0.250, 0.125)
Br (0.741, 0.750, 0.125)
Br (0.750, 0.241, 0.375)
Br (0.750, 0.259, 0.875)
Br (0.759, 0.750, 0.625)

Output
Calculated volume = 430.6 Å³ per cell
Density of states at the Fermi level = 2.4 states/eV per cell
Crystal system = tetragonal
ρ = 6.2 g/cm³
Space-group type = I-42d (122)

---

(B)
Entry from Alexandria via LeMat-Bulk: a relaxed structure of BiPBr2 (PBE).

Unit cell a=7.336 b=7.336 c=7.336 alpha=90.00 beta=90.00 gamma=90.00
Positions (direct):
Bi (0.000, 0.000, 0.000)
Bi (0.000, 0.500, 0.500)
Bi (0.500, 0.000, 0.500)
Bi (0.500, 0.500, 0.000)
P (0.000, 0.000, 0.500)
P (0.000, 0.500, 0.000)
P (0.500, 0.000, 0.000)
P (0.500, 0.500, 0.500)
Br (0.250, 0.250, 0.250)
Br (0.250, 0.250, 0.750)
Br (0.250, 0.750, 0.250)
Br (0.250, 0.750, 0.750)
Br (0.750, 0.250, 0.250)
Br (0.750, 0.250, 0.750)
Br (0.750, 0.750, 0.250)
Br (0.750, 0.750, 0.750)

Output
Calculated volume = 394.8 Å³ per cell
Density of states at the Fermi level = 13.7 states/eV per cell
Crystal system = cubic
ρ = 6.7 g/cm³
Space-group type = Fm-3m (225)

---

Energies relative to the minimum, meV per atom: (A) 0; (B) 271

---

(A)
Entry from Alexandria via LeMat-Bulk: a relaxed structure of BiP2Br (PBE).

Unit cell a=7.186 b=7.186 c=8.882 alpha=90.00 beta=90.00 gamma=90.00
Positions (direct):
Bi (0.000, 0.000, 0.000)
Bi (0.000, 0.500, 0.250)
Bi (0.500, 0.000, 0.750)
Bi (0.500, 0.500, 0.500)
P (0.239, 0.250, 0.125)
P (0.250, 0.739, 0.375)
P (0.250, 0.761, 0.875)
P (0.261, 0.250, 0.625)
P (0.739, 0.750, 0.625)
P (0.750, 0.239, 0.875)
P (0.750, 0.261, 0.375)
P (0.761, 0.750, 0.125)
Br (0.000, 0.000, 0.500)
Br (0.000, 0.500, 0.750)
Br (0.500, 0.000, 0.250)
Br (0.500, 0.500, 0.000)

Output
Calculated volume = 458.6 Å³ per cell
Density of states at the Fermi level = 10.4 states/eV per cell
Crystal system = tetragonal
ρ = 5.1 g/cm³
Space-group type = I-42d (122)

---

(B)
Entry from Alexandria via LeMat-Bulk: a relaxed structure of BiP2Br (PBE).

Unit cell a=7.026 b=7.026 c=7.026 alpha=90.00 beta=90.00 gamma=90.00
Positions (direct):
Bi (0.000, 0.000, 0.000)
Bi (0.000, 0.500, 0.500)
Bi (0.500, 0.000, 0.500)
Bi (0.500, 0.500, 0.000)
P (0.250, 0.250, 0.250)
P (0.250, 0.250, 0.750)
P (0.250, 0.750, 0.250)
P (0.250, 0.750, 0.750)
P (0.750, 0.250, 0.250)
P (0.750, 0.250, 0.750)
P (0.750, 0.750, 0.250)
P (0.750, 0.750, 0.750)
Br (0.000, 0.000, 0.500)
Br (0.000, 0.500, 0.000)
Br (0.500, 0.000, 0.000)
Br (0.500, 0.500, 0.500)

Output
Calculated volume = 346.9 Å³ per cell
Density of states at the Fermi level = 12.3 states/eV per cell
Crystal system = cubic
ρ = 6.7 g/cm³
Space-group type = Fm-3m (225)

---

Energies relative to the minimum, meV per atom: (A) 0; (B) 61

---

(A)
Entry from Alexandria via LeMat-Bulk: a relaxed structure of BiP3Br (PBE).

Unit cell a=5.469 b=5.469 c=5.469 alpha=90.00 beta=90.00 gamma=90.00
Positions (direct):
Bi (0.000, 0.000, 0.000)
P (0.000, 0.000, 0.500)
P (0.000, 0.500, 0.000)
P (0.500, 0.000, 0.000)
Br (0.500, 0.500, 0.500)

Output
Calculated volume = 163.6 Å³ per cell
Density of states at the Fermi level = 5.4 states/eV per cell
Crystal system = cubic
ρ = 3.9 g/cm³
Space-group type = Pm-3m (221)

---

(B)
Entry from Alexandria via LeMat-Bulk: a relaxed structure of BiP3Br (PBE).

Unit cell a=4.874 b=4.874 c=4.874 alpha=90.00 beta=90.00 gamma=90.00
Positions (direct):
Bi (0.000, 0.000, 0.000)
P (0.000, 0.500, 0.500)
P (0.500, 0.000, 0.500)
P (0.500, 0.500, 0.000)
Br (0.500, 0.500, 0.500)

Output
Calculated volume = 115.8 Å³ per cell
Density of states at the Fermi level = 3.2 states/eV per cell
Crystal system = cubic
ρ = 5.5 g/cm³
Space-group type = Pm-3m (221)

---

Energies relative to the minimum, meV per atom: (A) 186; (B) 0

---

(A)
Entry from Alexandria via LeMat-Bulk: a relaxed structure of BiPBr3 (PBE).

Unit cell a=5.750 b=5.750 c=5.750 alpha=90.00 beta=90.00 gamma=90.00
Positions (direct):
Bi (0.000, 0.000, 0.000)
P (0.500, 0.500, 0.500)
Br (0.000, 0.000, 0.500)
Br (0.000, 0.500, 0.000)
Br (0.500, 0.000, 0.000)

Output
Calculated volume = 190.1 Å³ per cell
Density of states at the Fermi level = 1.1 states/eV per cell
Crystal system = cubic
ρ = 4.2 g/cm³
Space-group type = Pm-3m (221)

---

(B)
Entry from Alexandria via LeMat-Bulk: a relaxed structure of BiPBr3 (PBE).

Unit cell a=5.181 b=5.181 c=5.181 alpha=90.00 beta=90.00 gamma=90.00
Positions (direct):
Bi (0.000, 0.000, 0.000)
P (0.500, 0.500, 0.500)
Br (0.000, 0.500, 0.500)
Br (0.500, 0.000, 0.500)
Br (0.500, 0.500, 0.000)

Output
Calculated volume = 139.0 Å³ per cell
Density of states at the Fermi level = 3.9 states/eV per cell
Crystal system = cubic
ρ = 5.7 g/cm³
Space-group type = Pm-3m (221)

---

Energies relative to the minimum, meV per atom: (A) 0; (B) 41

---

(A)
Entry from Alexandria via LeMat-Bulk: a relaxed structure of BiPS2Br (PBE).

Unit cell a=5.130 b=5.130 c=5.772 alpha=90.00 beta=90.00 gamma=90.00
Positions (direct):
Bi (0.000, 0.000, 0.000)
P (0.000, 0.000, 0.500)
S (0.000, 0.500, 0.000)
S (0.500, 0.000, 0.000)
Br (0.500, 0.500, 0.500)

Output
Calculated volume = 151.9 Å³ per cell
Density of states at the Fermi level = 6.5 states/eV per cell
Crystal system = tetragonal
ρ = 4.2 g/cm³
Space-group type = P4/mmm (123)

---

(B)
Entry from Alexandria via LeMat-Bulk: a relaxed structure of BiPS2Br (PBE).

Unit cell a=4.822 b=4.822 c=5.022 alpha=90.00 beta=90.00 gamma=90.00
Positions (direct):
Bi (0.000, 0.000, 0.000)
P (0.500, 0.500, 0.000)
S (0.000, 0.500, 0.500)
S (0.500, 0.000, 0.500)
Br (0.500, 0.500, 0.500)

Output
Calculated volume = 116.8 Å³ per cell
Density of states at the Fermi level = 4.0 states/eV per cell
Crystal system = tetragonal
ρ = 5.5 g/cm³
Space-group type = P4/mmm (123)

---

Energies relative to the minimum, meV per atom: (A) 0; (B) 14

---

(A)
Entry from Alexandria via LeMat-Bulk: a relaxed structure of BiP2SBr (PBE).

Unit cell a=4.954 b=4.954 c=4.737 alpha=90.00 beta=90.00 gamma=90.00
Positions (direct):
Bi (0.000, 0.000, 0.000)
P (0.000, 0.500, 0.500)
P (0.500, 0.000, 0.500)
S (0.500, 0.500, 0.000)
Br (0.500, 0.500, 0.500)

Output
Calculated volume = 116.3 Å³ per cell
Density of states at the Fermi level = 2.2 states/eV per cell
Crystal system = tetragonal
ρ = 5.5 g/cm³
Space-group type = P4/mmm (123)

---

(B)
Entry from Alexandria via LeMat-Bulk: a relaxed structure of BiP2SBr (PBE).

Unit cell a=5.531 b=5.531 c=5.129 alpha=90.00 beta=90.00 gamma=90.00
Positions (direct):
Bi (0.000, 0.000, 0.000)
P (0.000, 0.500, 0.000)
P (0.500, 0.000, 0.000)
S (0.000, 0.000, 0.500)
Br (0.500, 0.500, 0.500)

Output
Calculated volume = 156.9 Å³ per cell
Density of states at the Fermi level = 5.5 states/eV per cell
Crystal system = tetragonal
ρ = 4.1 g/cm³
Space-group type = P4/mmm (123)

---

Energies relative to the minimum, meV per atom: (A) 0; (B) 63

---

(A)
Entry from Alexandria via LeMat-Bulk: a relaxed structure of BiPSeBr2 (PBE).

Unit cell a=4.996 b=4.996 c=5.222 alpha=90.00 beta=90.00 gamma=90.00
Positions (direct):
Bi (0.000, 0.000, 0.000)
P (0.500, 0.500, 0.500)
Se (0.500, 0.500, 0.000)
Br (0.000, 0.500, 0.500)
Br (0.500, 0.000, 0.500)

Output
Calculated volume = 130.3 Å³ per cell
Density of states at the Fermi level = 2.1 states/eV per cell
Crystal system = tetragonal
ρ = 6.1 g/cm³
Space-group type = P4/mmm (123)

---

(B)
Entry from Alexandria via LeMat-Bulk: a relaxed structure of BiPSeBr2 (PBE).

Unit cell a=5.664 b=5.664 c=5.787 alpha=90.00 beta=90.00 gamma=90.00
Positions (direct):
Bi (0.000, 0.000, 0.000)
P (0.500, 0.500, 0.500)
Se (0.000, 0.000, 0.500)
Br (0.000, 0.500, 0.000)
Br (0.500, 0.000, 0.000)

Output
Calculated volume = 185.6 Å³ per cell
Density of states at the Fermi level = 3.3 states/eV per cell
Crystal system = tetragonal
ρ = 4.3 g/cm³
Space-group type = P4/mmm (123)

---

Energies relative to the minimum, meV per atom: (A) 0; (B) 291

---

(A)
Entry from Alexandria via LeMat-Bulk: a relaxed structure of Bi2Pb2Br (PBE).

Unit cell a=9.011 b=9.011 c=4.209 alpha=90.00 beta=90.00 gamma=90.00
Positions (direct):
Bi (0.129, 0.371, 0.000)
Bi (0.371, 0.871, 0.000)
Bi (0.629, 0.129, 0.000)
Bi (0.871, 0.629, 0.000)
Pb (0.150, 0.650, 0.500)
Pb (0.350, 0.150, 0.500)
Pb (0.650, 0.850, 0.500)
Pb (0.850, 0.350, 0.500)
Br (0.000, 0.000, 0.000)
Br (0.500, 0.500, 0.000)

Output
Calculated volume = 341.8 Å³ per cell
Density of states at the Fermi level = 4.9 states/eV per cell
Crystal system = tetragonal
ρ = 8.9 g/cm³
Space-group type = P4/mbm (127)

---

(B)
Entry from Alexandria via LeMat-Bulk: a relaxed structure of Bi2Pb2Br (PBE).

Unit cell a=4.736 b=4.736 c=16.037 alpha=90.00 beta=90.00 gamma=90.00
Positions (direct):
Bi (0.000, 0.500, 0.250)
Bi (0.000, 0.500, 0.750)
Bi (0.500, 0.000, 0.250)
Bi (0.500, 0.000, 0.750)
Pb (0.000, 0.000, 0.108)
Pb (0.000, 0.000, 0.892)
Pb (0.500, 0.500, 0.392)
Pb (0.500, 0.500, 0.608)
Br (0.000, 0.000, 0.500)
Br (0.500, 0.500, 0.000)

Output
Calculated volume = 359.7 Å³ per cell
Density of states at the Fermi level = 3.4 states/eV per cell
Crystal system = tetragonal
ρ = 8.4 g/cm³
Space-group type = I4/mmm (139)

---

Energies relative to the minimum, meV per atom: (A) 134; (B) 0

---

(A)
Entry from Alexandria via LeMat-Bulk: a relaxed structure of Bi3PbBr (PBE).

Unit cell a=5.722 b=5.722 c=5.722 alpha=90.00 beta=90.00 gamma=90.00
Positions (direct):
Bi (0.000, 0.000, 0.500)
Bi (0.000, 0.500, 0.000)
Bi (0.500, 0.000, 0.000)
Pb (0.500, 0.500, 0.500)
Br (0.000, 0.000, 0.000)

Output
Calculated volume = 187.4 Å³ per cell
Density of states at the Fermi level = 4.2 states/eV per cell
Crystal system = cubic
ρ = 8.1 g/cm³
Space-group type = Pm-3m (221)

---

(B)
Entry from Alexandria via LeMat-Bulk: a relaxed structure of Bi3PbBr (PBE).

Unit cell a=5.975 b=5.975 c=5.975 alpha=90.00 beta=90.00 gamma=90.00
Positions (direct):
Bi (0.000, 0.000, 0.500)
Bi (0.000, 0.500, 0.000)
Bi (0.500, 0.000, 0.000)
Pb (0.000, 0.000, 0.000)
Br (0.500, 0.500, 0.500)

Output
Calculated volume = 213.3 Å³ per cell
Density of states at the Fermi level = 6.3 states/eV per cell
Crystal system = cubic
ρ = 7.1 g/cm³
Space-group type = Pm-3m (221)

---

Energies relative to the minimum, meV per atom: (A) 0; (B) 82

---

(A)
Entry from Alexandria via LeMat-Bulk: a relaxed structure of BiPd3Br (PBE).

Unit cell a=4.843 b=4.843 c=4.843 alpha=90.00 beta=90.00 gamma=90.00
Positions (direct):
Bi (0.000, 0.000, 0.000)
Pd (0.000, 0.500, 0.500)
Pd (0.500, 0.000, 0.500)
Pd (0.500, 0.500, 0.000)
Br (0.500, 0.500, 0.500)

Output
Calculated volume = 113.6 Å³ per cell
Density of states at the Fermi level = 3.5 states/eV per cell
Crystal system = cubic
ρ = 8.9 g/cm³
Space-group type = Pm-3m (221)

---

(B)
Entry from Alexandria via LeMat-Bulk: a relaxed structure of BiPd3Br (PBE).

Unit cell a=5.152 b=5.152 c=5.152 alpha=90.00 beta=90.00 gamma=90.00
Positions (direct):
Bi (0.000, 0.000, 0.000)
Pd (0.000, 0.000, 0.500)
Pd (0.000, 0.500, 0.000)
Pd (0.500, 0.000, 0.000)
Br (0.500, 0.500, 0.500)

Output
Calculated volume = 136.7 Å³ per cell
Density of states at the Fermi level = 4.1 states/eV per cell
Crystal system = cubic
ρ = 7.4 g/cm³
Space-group type = Pm-3m (221)

---

Energies relative to the minimum, meV per atom: (A) 0; (B) 204